(1)
A crystal of Li2CaPb relaxed with PBEsol, computed with SCAN. Values from VASP.

```
&SYSTEM
  ibrav = 0, nat = 4, ntyp = 3
/
ATOMIC_SPECIES
Li 6.94 Li.upf
Ca 40.08 Ca.upf
Pb 207.20 Pb.upf
ATOMIC_POSITIONS crystal
Li 0.563 0.500 0.244
Li 0.972 0.000 0.068
Ca 0.282 0.500 0.694
Pb 0.683 0.000 0.494
CELL_PARAMETERS angstrom
3.603 0.000 -0.073
0.000 4.879 0.000
-1.661 0.000 5.843
```

Values from the calculation:
- ΔE_f (kJ/mol of formula units) = -138
- spin magnetization (μB/f.u.) = 0.3
- total DFT energy (no corrections) (eV/cell) = -91.657

***

(2)
A crystal of Sc2MnTc relaxed with PBEsol, computed with SCAN. Values from VASP.

```
&SYSTEM
  ibrav = 0, nat = 4, ntyp = 3
/
ATOMIC_SPECIES
Sc 44.96 Sc.upf
Mn 54.94 Mn.upf
Tc 98.00 Tc.upf
ATOMIC_POSITIONS crystal
Sc 0.986 0.486 0.971
Sc 0.763 0.763 0.527
Mn 0.224 0.224 0.448
Tc 0.527 0.027 0.055
CELL_PARAMETERS angstrom
3.118 0.000 0.000
0.000 4.489 0.000
-1.559 -2.245 4.629
```

Values from the calculation:
- ΔE_f (kJ/mol of formula units) = -41
- spin magnetization (μB/f.u.) = 1.7
- total DFT energy (no corrections) (eV/cell) = -82.218